! Hf2MnAg2S6 | Alexandria | PBE-GGA | optimized geometry; values from VASP
! Total energy, eV/atom: -6.30
! E_form (uncorrected), eV/atom: -0.886
! DOS at the Fermi energy, states/eV per cell: 3.73
&SYSTEM
  ibrav = 0, nat = 11, ntyp = 4
/
ATOMIC_SPECIES
S 32.06 S.upf
Hf 178.49 Hf.upf
Ag 107.87 Ag.upf
Mn 54.94 Mn.upf
CELL_PARAMETERS angstrom
6.0775 -0.1475 0.7285
-3.1320 5.2104 0.7285
-0.3205 -0.5509 7.6393
ATOMIC_POSITIONS crystal
S 0.0445 0.7312 0.3138
S 0.9555 0.2688 0.6862
S 0.6460 0.6460 0.6939
S 0.7312 0.0445 0.3138
S 0.3540 0.3540 0.3061
S 0.2688 0.9555 0.6862
Hf 0.3417 0.6583 0.5000
Hf 0.6583 0.3417 0.5000
Ag 0.1469 0.8531 0.0000
Ag 0.8531 0.1469 0.0000
Mn 0.0000 0.0000 0.5000

---

! LiMg6BO7 | Alexandria | PBE-GGA | optimized geometry; values from VASP
! Total energy, eV/atom: -5.62
! E_form (uncorrected), eV/atom: -2.096
! ΔE to the lowest computed polymorph, meV/atom: 28.1
! DOS at the Fermi energy, states/eV per cell: 0.00
&SYSTEM
  ibrav = 0, nat = 15, ntyp = 4
/
ATOMIC_SPECIES
Mg 24.30 Mg.upf
B 10.81 B.upf
O 16.00 O.upf
Li 6.94 Li.upf
CELL_PARAMETERS angstrom
-1.5356 2.7186 -2.9937
-2.8014 -3.0246 -1.3098
-5.4353 2.7467 5.2822
ATOMIC_POSITIONS crystal
Mg 0.5000 0.5000 0.0025
Mg 0.5000 0.5000 0.4971
Mg 0.5000 0.0000 0.2536
Mg 0.0000 0.5000 0.7453
Mg 0.0000 0.5000 0.2536
Mg 0.5000 0.0000 0.7453
B 0.0000 0.0000 0.5008
O 0.5000 0.5000 0.7493
O 0.0000 0.0000 0.6777
O 0.0000 0.5000 0.9993
O 0.5000 0.0000 0.9993
O 0.5000 0.0000 0.4995
O 0.0000 0.5000 0.4995
O 0.0000 0.0000 0.3247
Li 0.0000 0.0000 0.0025

---

! AlIrRhCl2 | Alexandria | PBE-GGA | optimized geometry; values from VASP
! Total energy, eV/atom: -3.86
! E_form (uncorrected), eV/atom: 0.871
! DOS at the Fermi energy, states/eV per cell: 5.20
&SYSTEM
  ibrav = 0, nat = 5, ntyp = 4
/
ATOMIC_SPECIES
Rh 102.91 Rh.upf
Cl 35.45 Cl.upf
Ir 192.22 Ir.upf
Al 26.98 Al.upf
CELL_PARAMETERS angstrom
4.3159 0.0000 0.0000
0.0000 5.4234 0.0000
0.0000 0.0000 4.3159
ATOMIC_POSITIONS crystal
Rh 0.0000 0.5000 0.0000
Cl 0.0000 0.0000 0.5000
Cl 0.5000 0.0000 0.0000
Ir 0.5000 0.5000 0.5000
Al 0.0000 0.0000 0.0000

---

- The highest total energy belongs to which entry?
  AlIrRhCl2

---

What did the first record say?
! Hf2MnAg2S6 | Alexandria | PBE-GGA | optimized geometry; values from VASP
! Total energy, eV/atom: -6.30
! E_form (uncorrected), eV/atom: -0.886
! DOS at the Fermi energy, states/eV per cell: 3.73
&SYSTEM
  ibrav = 0, nat = 11, ntyp = 4
/
ATOMIC_SPECIES
S 32.06 S.upf
Hf 178.49 Hf.upf
Ag 107.87 Ag.upf
Mn 54.94 Mn.upf
CELL_PARAMETERS angstrom
6.0775 -0.1475 0.7285
-3.1320 5.2104 0.7285
-0.3205 -0.5509 7.6393
ATOMIC_POSITIONS crystal
S 0.0445 0.7312 0.3138
S 0.9555 0.2688 0.6862
S 0.6460 0.6460 0.6939
S 0.7312 0.0445 0.3138
S 0.3540 0.3540 0.3061
S 0.2688 0.9555 0.6862
Hf 0.3417 0.6583 0.5000
Hf 0.6583 0.3417 0.5000
Ag 0.1469 0.8531 0.0000
Ag 0.8531 0.1469 0.0000
Mn 0.0000 0.0000 0.5000

---

Repeat the first record exactly.
! Hf2MnAg2S6 | Alexandria | PBE-GGA | optimized geometry; values from VASP
! Total energy, eV/atom: -6.30
! E_form (uncorrected), eV/atom: -0.886
! DOS at the Fermi energy, states/eV per cell: 3.73
&SYSTEM
  ibrav = 0, nat = 11, ntyp = 4
/
ATOMIC_SPECIES
S 32.06 S.upf
Hf 178.49 Hf.upf
Ag 107.87 Ag.upf
Mn 54.94 Mn.upf
CELL_PARAMETERS angstrom
6.0775 -0.1475 0.7285
-3.1320 5.2104 0.7285
-0.3205 -0.5509 7.6393
ATOMIC_POSITIONS crystal
S 0.0445 0.7312 0.3138
S 0.9555 0.2688 0.6862
S 0.6460 0.6460 0.6939
S 0.7312 0.0445 0.3138
S 0.3540 0.3540 0.3061
S 0.2688 0.9555 0.6862
Hf 0.3417 0.6583 0.5000
Hf 0.6583 0.3417 0.5000
Ag 0.1469 0.8531 0.0000
Ag 0.8531 0.1469 0.0000
Mn 0.0000 0.0000 0.5000

---

- Which of these has the highest E_form (uncorrected)?
  AlIrRhCl2